[1]
# PmTm2Au2

An optimized crystal structure of PmTm2Au2 (GGA-PBE, Alexandria via LeMat-Bulk).

raw total energy	-4.746	eV per atom
excess energy over the best structure of this formula in the dataset	0	meV/atom
DOS(E_F)	11.1	states/eV per cell
V	25.22	A^3/atom
calculated formation energy	-0.696	eV/atom

abc: 8.180 8.180 3.769
angles: 90.00 90.00 90.00
Space group P4/mbm (No. 127)
Asymmetric unit:
Pm1 0.000 0.000 0.000 (multiplicity 2)
Tm1 0.161 0.339 0.500 (multiplicity 4)
Au1 0.132 0.632 0.000 (multiplicity 4)

---

[2]
# PmTmAu2

An optimized crystal structure of PmTmAu2 (GGA-PBE, Alexandria via LeMat-Bulk).

raw total energy	-4.787	eV per atom
excess energy over the best structure of this formula in the dataset	5	meV/atom
DOS(E_F)	1.9	states/eV per cell
V	23.70	A^3/atom
calculated formation energy	-0.843	eV/atom

abc: 3.583 3.583 7.385
angles: 90.00 90.00 90.00
Space group P4/mmm (No. 123)
Asymmetric unit:
Pm1 0.000 0.000 0.000 (multiplicity 1)
Tm1 0.000 0.000 0.500 (multiplicity 1)
Au1 0.500 0.500 0.273 (multiplicity 2)

---

[3]
# Pm2Tm2Au3

An optimized crystal structure of Pm2Tm2Au3 (GGA-PBE, Alexandria via LeMat-Bulk).

raw total energy	-4.693	eV per atom
DOS(E_F)	32.9	states/eV per cell
V	25.94	A^3/atom
calculated formation energy	-0.654	eV/atom

abc: 8.989 8.989 8.989
angles: 90.00 90.00 90.00
Space group I2_13 (No. 199)
Asymmetric unit:
Pm1 0.073 0.073 0.073 (multiplicity 8)
Tm1 0.182 0.318 0.682 (multiplicity 8)
Au1 0.000 0.250 0.390 (multiplicity 12)

---

[4]
# Pm2Tm3Au2

An optimized crystal structure of Pm2Tm3Au2 (GGA-PBE, Alexandria via LeMat-Bulk).

raw total energy	-4.725	eV per atom
DOS(E_F)	18.2	states/eV per cell
V	27.71	A^3/atom
calculated formation energy	-0.514	eV/atom

abc: 12.841 3.704 9.152
angles: 90.00 116.98 90.00
Space group C2/m (No. 12)
Asymmetric unit:
Pm1 0.151 0.000 0.314 (multiplicity 4)
Tm1 0.000 0.500 0.500 (multiplicity 2)
Tm2 0.114 0.500 0.946 (multiplicity 4)
Au1 0.166 0.000 0.735 (multiplicity 4)

---

| no. | spin magnetization (μB per formula unit) |
| --- | --- |
| 1 | 0.00 |
| 2 | 0.00 |
| 3 | 0.00 |
| 4 | 0.00 |